Material: ScCo2Rh
Method: DFT, PBE-GGA
State: relaxed

abc: 3.8752 3.8752 7.4533
angles: 90.00 90.00 90.00
Space group I-4m2 (No. 119)
Inequivalent atoms, fractional coordinates:
Sc 0.0000 0.0000 0.0000 [2 per cell]
Co 0.0000 0.0000 0.5000 [2 per cell]
Co 0.0000 0.5000 0.7500 [2 per cell]
Rh 0.0000 0.5000 0.2500 [2 per cell]

Properties
Magnetic moment ... 0.809 μB per atom
Final energy ... -57.35 eV for the cell shown
Volume ... 13.99 A^3/atom
Formation energy from the elements ... -0.20 eV per atom